[1]
## Sc3Tl2 (GGA-PBE)

Data for a geometry-optimized Sc3Tl2 structure.

Cell lengths 12.5555, 12.5555, 12.5555 Å; angles 15.53, 15.53, 15.53 degrees
With the nearest neighbours (Å) after each atom.
Positions (direct):
Sc (0.0000, 0.0000, 0.0000)  6 Tl 3.13, 6 Sc 3.39
Sc (0.7993, 0.7993, 0.7993)  3 Tl 3.18, 9 Sc 3.20-3.39
Sc (0.2007, 0.2007, 0.2007)  3 Tl 3.18, 9 Sc 3.20-3.39
Tl (0.3988, 0.3988, 0.3988)  6 Sc 3.13-3.18, 6 Tl 3.39
Tl (0.6012, 0.6012, 0.6012)  6 Sc 3.13-3.18, 6 Tl 3.39

The calculated formation energy is -0.15 eV/atom. The symmetry is R-3m.

[2]
## Sc2Tl (GGA-PBE)

Data for a geometry-optimized Sc2Tl structure.

Cell lengths 4.7727, 6.3614, 9.3576 Å; angles 90.00, 90.00, 90.00 degrees
With the nearest neighbours (Å) after each atom.
Positions (direct):
Tl (0.2500, 0.2031, 0.8792)  9 Sc 3.02-3.24
Tl (0.7500, 0.7969, 0.1208)  9 Sc 3.02-3.24
Tl (0.7500, 0.2969, 0.3792)  9 Sc 3.02-3.24
Tl (0.2500, 0.7031, 0.6208)  9 Sc 3.02-3.24
Sc (0.7500, 0.9437, 0.7893)  5 Tl 3.02-3.24, 5 Sc 3.26-3.31
Sc (0.7500, 0.8303, 0.4437)  4 Tl 3.02-3.03, 3 Sc 3.29-3.31
Sc (0.7500, 0.4437, 0.7107)  5 Tl 3.02-3.24, 5 Sc 3.26-3.31
Sc (0.2500, 0.5563, 0.2893)  5 Tl 3.02-3.24, 5 Sc 3.26-3.31
Sc (0.2500, 0.6697, 0.9437)  4 Tl 3.02-3.03, 3 Sc 3.29-3.31
Sc (0.2500, 0.1697, 0.5563)  4 Tl 3.02-3.03, 3 Sc 3.29-3.31
Sc (0.7500, 0.3303, 0.0563)  4 Tl 3.02-3.03, 3 Sc 3.29-3.31
Sc (0.2500, 0.0563, 0.2107)  5 Tl 3.02-3.24, 5 Sc 3.26-3.31

The calculated formation energy is -0.25 eV/atom. The symmetry is Pnma.

[3]
## ScTl4 (GGA-PBE)

Data for a geometry-optimized ScTl4 structure.

Cell lengths 5.6783, 5.6783, 5.6783 Å; angles 90.00, 90.00, 90.00 degrees
With the nearest neighbours (Å) after each atom.
Positions (direct):
Sc (0.5000, 0.5000, 0.5000)  6 Tl 2.84
Tl (0.0000, 0.0000, 0.0000)  12 Tl 4.02
Tl (0.0000, 0.5000, 0.5000)  2 Sc 2.84
Tl (0.5000, 0.0000, 0.5000)  2 Sc 2.84
Tl (0.5000, 0.5000, 0.0000)  2 Sc 2.84

The calculated formation energy is 0.28 eV/atom. As for the excess energy over the best structure of this formula in the dataset: 277 meV per atom. The symmetry is Pm-3m.

[4]
## Sc2Tl3 (GGA-PBE)

Data for a geometry-optimized Sc2Tl3 structure.

Cell lengths 12.6396, 12.6396, 12.6396 Å; angles 15.72, 15.72, 15.72 degrees
With the nearest neighbours (Å) after each atom.
Positions (direct):
Tl (0.7970, 0.7970, 0.7970)  3 Sc 3.21, 9 Tl 3.38-3.46
Tl (0.2030, 0.2030, 0.2030)  3 Sc 3.21, 9 Tl 3.38-3.46
Tl (0.0000, 0.0000, 0.0000)  6 Sc 3.10, 6 Tl 3.46
Sc (0.3966, 0.3966, 0.3966)  6 Tl 3.10-3.21, 6 Sc 3.46
Sc (0.6034, 0.6034, 0.6034)  6 Tl 3.10-3.21, 6 Sc 3.46

The calculated formation energy is -0.06 eV/atom. As for the excess energy over the best structure of this formula in the dataset: 100 meV per atom. The symmetry is R-3m.

[5]
## Sc5Tl3 (GGA-PBE)

Data for a geometry-optimized Sc5Tl3 structure.

Cell lengths 6.3559, 6.3559, 4.8766 Å; angles 90.00, 90.00, 105.88 degrees
With the nearest neighbours (Å) after each atom.
Positions (direct):
Sc (0.5000, 0.0000, 0.0000)  6 Tl 3.13-3.18, 2 Sc 3.18
Sc (0.7174, 0.7174, 0.5000)  4 Tl 2.95-3.03, 2 Sc 3.26
Sc (0.2826, 0.2826, 0.5000)  4 Tl 2.95-3.03, 2 Sc 3.26
Sc (0.0000, 0.0000, 0.0000)  8 Sc 3.18-3.26, 4 Tl 3.23
Sc (0.0000, 0.5000, 0.0000)  6 Tl 3.13-3.18, 2 Sc 3.18
Tl (0.7915, 0.2085, 0.5000)  8 Sc 3.03-3.23
Tl (0.5000, 0.5000, 0.0000)  8 Sc 2.95-3.18
Tl (0.2085, 0.7915, 0.5000)  8 Sc 3.03-3.23

The calculated formation energy is -0.22 eV/atom. As for the excess energy over the best structure of this formula in the dataset: 47 meV per atom. The symmetry is Cmmm.

[6]
## ScTl5 (GGA-PBE)

Data for a geometry-optimized ScTl5 structure.

Cell lengths 8.0186, 8.0186, 4.5093 Å; angles 90.00, 90.00, 144.89 degrees
With the nearest neighbours (Å) after each atom.
Positions (direct):
Tl (0.1606, 0.8394, 0.0000)  10 Tl 3.31-3.65, 2 Sc 3.45
Tl (0.6616, 0.3384, 0.5000)  10 Tl 3.31-3.63, 2 Sc 3.34
Tl (0.0000, 0.0000, 0.5000)  4 Sc 3.31, 8 Tl 3.33-3.46
Tl (0.3384, 0.6616, 0.5000)  10 Tl 3.31-3.63, 2 Sc 3.34
Tl (0.8394, 0.1606, 0.0000)  10 Tl 3.31-3.65, 2 Sc 3.45
Sc (0.5000, 0.5000, 0.0000)  12 Tl 3.31-3.45

The calculated formation energy is 0.02 eV/atom. As for the excess energy over the best structure of this formula in the dataset: 50 meV per atom. The symmetry is Cmmm.

[7]
## ScTl5 (GGA-PBE)

Data for a geometry-optimized ScTl5 structure.

Cell lengths 9.3316, 9.3316, 5.1576 Å; angles 90.00, 90.00, 157.62 degrees
With the nearest neighbours (Å) after each atom.
Positions (direct):
Sc (0.9944, 0.0056, 0.0000)  10 Tl 3.23-3.46
Tl (0.1051, 0.8949, 0.5000)  8 Tl 3.27-3.62, 2 Sc 3.28
Tl (0.4566, 0.5434, 0.5000)  4 Sc 3.23, 4 Tl 3.27-3.33
Tl (0.6553, 0.3447, 0.0000)  8 Tl 3.28-3.62, 2 Sc 3.46
Tl (0.3417, 0.6583, 0.0000)  8 Tl 3.33-3.62, 2 Sc 3.33
Tl (0.7802, 0.2198, 0.5000)  12 Tl 3.35-3.70

The calculated formation energy is 0.00 eV/atom. As for the excess energy over the best structure of this formula in the dataset: 32 meV per atom. The symmetry is Amm2.

[8]
## ScTl4 (GGA-PBE)

Data for a geometry-optimized ScTl4 structure.

Cell lengths 5.9373, 5.9373, 5.9373 Å; angles 98.14, 98.14, 135.80 degrees
With the nearest neighbours (Å) after each atom.
Positions (direct):
Sc (0.0000, 0.0000, 0.0000)  12 Tl 3.29-3.50
Tl (0.3998, 0.2061, 0.6059)  3 Sc 3.29-3.50, 9 Tl 3.30-3.57
Tl (0.6002, 0.7939, 0.3941)  3 Sc 3.29-3.50, 9 Tl 3.30-3.57
Tl (0.2061, 0.6002, 0.8063)  3 Sc 3.29-3.50, 9 Tl 3.30-3.57
Tl (0.7939, 0.3998, 0.1937)  3 Sc 3.29-3.50, 9 Tl 3.30-3.57

The calculated formation energy is 0.01 eV/atom. As for the excess energy over the best structure of this formula in the dataset: 0 meV per atom. The symmetry is I4/m.

[9]
## Sc2Tl (GGA-PBE)

Data for a geometry-optimized Sc2Tl structure.

Cell lengths 8.4749, 8.4749, 5.2618 Å; angles 90.00, 90.00, 156.92 degrees
With the nearest neighbours (Å) after each atom.
Positions (direct):
Sc (0.9507, 0.0493, 0.7500)  10 Sc 3.10-3.39, 2 Tl 3.24
Sc (0.3873, 0.6127, 0.2500)  4 Tl 3.14-3.32, 8 Sc 3.18-3.39
Sc (0.0493, 0.9507, 0.2500)  10 Sc 3.10-3.39, 2 Tl 3.24
Sc (0.6127, 0.3873, 0.7500)  4 Tl 3.14-3.32, 8 Sc 3.18-3.39
Tl (0.7156, 0.2844, 0.2500)  6 Sc 3.14-3.32, 6 Tl 3.33-3.39
Tl (0.2844, 0.7156, 0.7500)  6 Sc 3.14-3.32, 6 Tl 3.33-3.39

The calculated formation energy is -0.11 eV/atom. The symmetry is Cmcm.

[10]
## Sc2Tl3 (GGA-PBE)

Data for a geometry-optimized Sc2Tl3 structure.

Cell lengths 4.4924, 5.3968, 6.0880 Å; angles 73.65, 68.35, 65.40 degrees
With the nearest neighbours (Å) after each atom.
Positions (direct):
Tl (0.2007, 0.7060, 0.8926)  4 Sc 3.05-3.35, 3 Tl 3.14-3.30
Tl (0.7993, 0.2940, 0.1074)  4 Sc 3.05-3.35, 3 Tl 3.14-3.30
Tl (0.0000, 0.5000, 0.5000)  6 Sc 3.09-3.28, 6 Tl 3.42-3.43
Sc (0.3957, 0.9049, 0.3038)  7 Tl 3.05-3.35, 2 Sc 3.39
Sc (0.6043, 0.0951, 0.6962)  7 Tl 3.05-3.35, 2 Sc 3.39

The calculated formation energy is -0.13 eV/atom. As for the excess energy over the best structure of this formula in the dataset: 37 meV per atom. The symmetry is C2/m.

[11]
## ScTl8 (GGA-PBE)

Data for a geometry-optimized ScTl8 structure.

Cell lengths 7.7702, 7.7702, 7.7702 Å; angles 95.38, 95.38, 144.34 degrees
With the nearest neighbours (Å) after each atom.
Positions (direct):
Tl (0.6624, 0.6624, 0.3249)  2 Sc 3.38, 10 Tl 3.40-3.53
Tl (0.3282, 0.0000, 0.3282)  11 Tl 3.40-3.59, 1 Sc 3.43
Tl (0.3376, 0.6624, 0.0000)  2 Sc 3.38, 10 Tl 3.40-3.53
Tl (0.6624, 0.3376, 0.0000)  2 Sc 3.38, 10 Tl 3.40-3.53
Tl (0.6718, 0.0000, 0.6718)  11 Tl 3.40-3.59, 1 Sc 3.43
Tl (0.0000, 0.6718, 0.6718)  11 Tl 3.40-3.59, 1 Sc 3.43
Tl (0.0000, 0.3282, 0.3282)  11 Tl 3.40-3.59, 1 Sc 3.43
Tl (0.3376, 0.3376, 0.6751)  2 Sc 3.38, 10 Tl 3.40-3.53
Sc (0.0000, 0.0000, 0.0000)  12 Tl 3.38-3.43

The calculated formation energy is 0.04 eV/atom. The symmetry is I4/mmm.

[12]
## Sc2Tl (GGA-PBE)

Data for a geometry-optimized Sc2Tl structure.

Cell lengths 8.3433, 8.3433, 3.5753 Å; angles 90.00, 90.00, 120.00 degrees
With the nearest neighbours (Å) after each atom.
Positions (direct):
Tl (0.6667, 0.3333, 0.0000)  9 Sc 2.99-3.16
Tl (0.3333, 0.6667, 0.0000)  9 Sc 2.99-3.16
Tl (0.0000, 0.0000, 0.5000)  9 Sc 2.99-3.18
Sc (0.6191, 0.0000, 0.5000)  5 Tl 3.16-3.18, 6 Sc 3.30-3.38
Sc (0.3809, 0.3809, 0.5000)  5 Tl 3.16-3.18, 6 Sc 3.30-3.38
Sc (0.0000, 0.2868, 0.0000)  4 Tl 2.99, 2 Sc 3.30
Sc (0.0000, 0.6191, 0.5000)  5 Tl 3.16-3.18, 6 Sc 3.30-3.38
Sc (0.7132, 0.7132, 0.0000)  4 Tl 2.99, 2 Sc 3.30
Sc (0.2868, 0.0000, 0.0000)  4 Tl 2.99, 2 Sc 3.30

The calculated formation energy is -0.23 eV/atom. The symmetry is P-62m.

[13]
## Sc2Tl (GGA-PBE)

Data for a geometry-optimized Sc2Tl structure.

Cell lengths 4.8736, 4.8736, 4.8736 Å; angles 60.00, 60.00, 60.00 degrees
With the nearest neighbours (Å) after each atom.
Positions (direct):
Tl (0.0000, 0.0000, 0.0000)  8 Sc 2.98
Sc (0.7500, 0.7500, 0.7500)  4 Tl 2.98
Sc (0.2500, 0.2500, 0.2500)  4 Tl 2.98

The calculated formation energy is 0.00 eV/atom. The symmetry is Fm-3m.

no.,V (Å³ per cell)
1,123.7
2,284.1
3,183.1
4,129.2
5,189.5
6,166.7
7,171.0
8,135.2
9,148.1
10,123.3
11,260.4
12,215.5
13,81.9